KHfCuI2 | GGA-PBE | optimized geometry

a b c (Å): 5.856 4.999 5.856
angles (deg): 90.00 90.00 90.00
Positions (direct):
I (0.000, 0.000, 0.500)
I (0.500, 0.000, 0.000)
K (0.500, 0.500, 0.500)
Hf (0.000, 0.500, 0.000)
Cu (0.000, 0.000, 0.000)

The magnetic moment comes out at 0.38 μB per atom. As for the formation energy from raw total energies: 0.273 eV/atom.

---

ScWN2 | GGA-PBE | optimized geometry

a b c (Å): 3.844 3.844 3.844
angles (deg): 60.00 60.00 60.00
Positions (direct):
Sc (0.000, 0.000, 0.000)
W (0.500, 0.500, 0.500)
N (0.250, 0.250, 0.250)
N (0.750, 0.750, 0.750)

The magnetic moment comes out at 0.00 μB per atom. The energy above the most stable polymorph in this dataset comes out at 488 meV per atom. As for the formation energy from raw total energies: -0.299 eV/atom.

---

PuMg2In2 | GGA-PBE | optimized geometry

a b c (Å): 3.131 8.739 8.739
angles (deg): 90.00 90.00 90.00
Positions (direct):
Pu (0.000, 0.000, 0.000)
Pu (0.000, 0.500, 0.500)
Mg (0.000, 0.376, 0.876)
Mg (0.000, 0.876, 0.624)
Mg (0.000, 0.624, 0.124)
Mg (0.000, 0.124, 0.376)
In (0.500, 0.174, 0.674)
In (0.500, 0.674, 0.826)
In (0.500, 0.826, 0.326)
In (0.500, 0.326, 0.174)

The magnetic moment comes out at 1.19 μB per atom. As for the formation enthalpy at 0 K: -0.08 eV per atom.

---

Tm2BeRh | GGA-PBE | optimized geometry

a b c (Å): 3.383 3.383 6.697
angles (deg): 90.00 90.00 90.00
Positions (direct):
Be (0.500, 0.500, 0.500)
Tm (0.000, 0.000, 0.749)
Tm (0.000, 0.000, 0.251)
Rh (0.500, 0.500, 0.000)

The magnetic moment comes out at 0.00 μB per atom. The energy above the most stable polymorph in this dataset comes out at 0 meV per atom. As for the formation enthalpy at 0 K: -0.44 eV per atom.

---

TlCuN | GGA-PBE | optimized geometry

a b c (Å): 3.927 3.927 7.366
angles (deg): 90.00 90.00 90.00
Positions (direct):
Tl (0.000, 0.500, 0.869)
Tl (0.500, 0.000, 0.131)
Cu (0.000, 0.000, 0.500)
Cu (0.500, 0.500, 0.500)
N (0.000, 0.500, 0.545)
N (0.500, 0.000, 0.455)

The magnetic moment comes out at 0.00 μB per atom. The energy above the most stable polymorph in this dataset comes out at 2 meV per atom. As for the formation energy from raw total energies: 0.620 eV/atom.

---

PrIrPb | GGA-PBE | optimized geometry

a b c (Å): 4.850 4.850 4.850
angles (deg): 60.00 60.00 60.00
Positions (direct):
Pb (0.500, 0.500, 0.500)
Pr (0.000, 0.000, 0.000)
Ir (0.250, 0.250, 0.250)

The magnetic moment comes out at 0.00 μB per atom. As for the formation enthalpy at 0 K: -0.36 eV per atom.

---

Tl2Sn2Au | GGA-PBE | optimized geometry

a b c (Å): 7.201 7.201 5.512
angles (deg): 90.00 90.00 90.00
Positions (direct):
Tl (0.168, 0.668, 0.500)
Tl (0.668, 0.832, 0.500)
Tl (0.832, 0.332, 0.500)
Tl (0.332, 0.168, 0.500)
Au (0.000, 0.000, 0.000)
Au (0.500, 0.500, 0.000)
Sn (0.355, 0.855, 0.000)
Sn (0.855, 0.645, 0.000)
Sn (0.645, 0.145, 0.000)
Sn (0.145, 0.355, 0.000)

The magnetic moment comes out at 0.00 μB per atom. The energy above the most stable polymorph in this dataset comes out at 0 meV per atom. As for the formation enthalpy at 0 K: -0.04 eV per atom.

---

Ce2NpScS6 | GGA-PBE | optimized geometry

a b c (Å): 6.965 6.965 7.284
angles (deg): 61.44 61.44 60.00
Positions (direct):
Ce (0.523, 0.523, 0.430)
Ce (0.021, 0.021, 0.937)
Np (0.818, 0.818, 0.547)
Sc (0.320, 0.320, 0.039)
S (0.592, 0.199, 0.256)
S (0.199, 0.953, 0.256)
S (0.953, 0.592, 0.256)
S (0.435, 0.690, 0.765)
S (0.690, 0.110, 0.765)
S (0.110, 0.435, 0.765)

The magnetic moment comes out at 0.60 μB per atom. As for the formation energy from raw total energies: -1.752 eV/atom.

---

TiVPt4 | GGA-PBE | optimized geometry

a b c (Å): 4.733 4.733 8.479
angles (deg): 62.26 62.26 34.14
Positions (direct):
Ti (0.500, 0.500, 0.500)
V (0.000, 0.000, 0.000)
Pt (0.202, 0.202, 0.161)
Pt (0.798, 0.798, 0.839)
Pt (0.150, 0.150, 0.658)
Pt (0.850, 0.850, 0.342)

The magnetic moment comes out at 0.00 μB per atom. The energy above the most stable polymorph in this dataset comes out at 87 meV per atom. As for the formation enthalpy at 0 K: -0.58 eV per atom.

---

Ca8ZnGa2 | GGA-PBE | optimized geometry

a b c (Å): 5.253 7.416 9.744
angles (deg): 108.52 105.64 90.00
Positions (direct):
Ca (0.402, 0.547, 0.805)
Ca (0.669, 0.960, 0.338)
Ca (0.798, 0.691, 0.595)
Ca (0.969, 0.212, 0.939)
Ca (0.202, 0.309, 0.405)
Ca (0.331, 0.040, 0.662)
Ca (0.598, 0.453, 0.195)
Ca (0.031, 0.788, 0.061)
Zn (0.500, 0.000, 0.000)
Ga (0.818, 0.299, 0.637)
Ga (0.182, 0.701, 0.363)

The magnetic moment comes out at 0.00 μB per atom. The energy above the most stable polymorph in this dataset comes out at 0 meV per atom. As for the formation enthalpy at 0 K: -0.24 eV per atom.

---

Cs2LaDyS4 | GGA-PBE | optimized geometry

a b c (Å): 4.228 7.327 8.432
angles (deg): 106.79 90.00 90.00
Positions (direct):
Cs (0.500, 0.000, 0.500)
Cs (0.000, 0.500, 0.500)
La (0.000, 0.000, 0.000)
Dy (0.500, 0.500, 0.000)
S (0.500, 0.240, 0.185)
S (0.500, 0.760, 0.815)
S (0.000, 0.283, 0.818)
S (0.000, 0.717, 0.182)

The magnetic moment comes out at 0.00 μB per atom. As for the formation energy from raw total energies: -1.852 eV/atom.

---

Pr3W5N12 | GGA-PBE | optimized geometry

a b c (Å): 11.317 11.317 11.317
angles (deg): 109.47 109.47 109.47
Positions (direct):
Pr (0.750, 0.375, 0.125)
Pr (0.875, 0.750, 0.125)
Pr (0.375, 0.750, 0.625)
Pr (0.250, 0.125, 0.375)
Pr (0.875, 0.125, 0.250)
Pr (0.375, 0.625, 0.250)
Pr (0.625, 0.375, 0.750)
Pr (0.125, 0.875, 0.750)
Pr (0.750, 0.875, 0.625)
Pr (0.625, 0.250, 0.375)
Pr (0.125, 0.250, 0.875)
Pr (0.250, 0.625, 0.875)
W (0.125, 0.375, 0.250)
W (0.000, 0.500, 0.000)
W (0.000, 0.000, 0.000)
W (0.375, 0.250, 0.125)
W (0.500, 0.000, 0.500)
W (0.500, 0.500, 0.000)
W (0.125, 0.750, 0.375)
W (0.750, 0.125, 0.875)
W (0.750, 0.625, 0.375)
W (0.375, 0.125, 0.750)
W (0.625, 0.875, 0.250)
W (0.500, 0.500, 0.500)
W (0.500, 0.000, 0.000)
W (0.000, 0.000, 0.500)
W (0.250, 0.375, 0.625)
W (0.250, 0.875, 0.125)
W (0.000, 0.500, 0.500)
W (0.875, 0.250, 0.625)
W (0.625, 0.750, 0.875)
W (0.875, 0.625, 0.750)
N (0.693, 0.113, 0.011)
N (0.319, 0.511, 0.399)
N (0.989, 0.387, 0.307)
N (0.511, 0.193, 0.113)
N (0.580, 0.693, 0.681)
N (0.989, 0.601, 0.181)
N (0.319, 0.807, 0.420)
N (0.101, 0.920, 0.113)
N (0.601, 0.989, 0.681)
N (0.693, 0.580, 0.181)
N (0.807, 0.489, 0.387)
N (0.819, 0.899, 0.011)
N (0.113, 0.693, 0.511)
N (0.387, 0.399, 0.080)
N (0.080, 0.899, 0.387)
N (0.420, 0.113, 0.601)
N (0.080, 0.181, 0.193)
N (0.489, 0.681, 0.101)
N (0.819, 0.920, 0.307)
N (0.113, 0.420, 0.101)
N (0.387, 0.989, 0.807)
N (0.601, 0.613, 0.420)
N (0.899, 0.819, 0.511)
N (0.807, 0.319, 0.920)
N (0.399, 0.387, 0.580)
N (0.101, 0.181, 0.489)
N (0.193, 0.681, 0.080)
N (0.181, 0.080, 0.693)
N (0.613, 0.011, 0.193)
N (0.887, 0.580, 0.899)
N (0.511, 0.319, 0.899)
N (0.580, 0.887, 0.399)
N (0.920, 0.819, 0.807)
N (0.920, 0.101, 0.613)
N (0.887, 0.307, 0.489)
N (0.181, 0.101, 0.989)
N (0.613, 0.601, 0.920)
N (0.399, 0.011, 0.319)
N (0.307, 0.420, 0.819)
N (0.193, 0.511, 0.613)
N (0.899, 0.080, 0.887)
N (0.681, 0.193, 0.580)
N (0.489, 0.807, 0.887)
N (0.011, 0.399, 0.819)
N (0.420, 0.307, 0.319)
N (0.011, 0.613, 0.693)
N (0.681, 0.489, 0.601)
N (0.307, 0.887, 0.989)

The magnetic moment comes out at 0.00 μB per atom. As for the formation energy from raw total energies: -0.767 eV/atom.